RbVSi2O6 | PBE with a Hubbard U | optimized geometry

The space group is C2/c (No. 15) and the conventional cell measures 10.3487, 11.5850 and 5.4613 Å, with angles of 90.00, 108.09 and 90.00 degrees. The distinct sites, in fractional coordinates, are Rb at (0.0000, 0.1190, 0.2500), V at (0.0000, 0.2789, 0.7500), Si at (0.2309, 0.4196, 0.1467), O at (0.0829, 0.3580, 0.0642), O at (0.1408, 0.1676, 0.7530) and O at (0.2505, 0.0106, 0.1085).

The total energy is -7.288 eV/atom. The value obtained for the theoretical density is 3.08 g/cm3. The value obtained for the magnetization is 8.0 μB per cell.